(1)
First-principles (GGA-PBEsol) data for a geometry-optimized Mn2AlAsSe structure, as listed in Alexandria.

Results
V: 105.3 Å³/cell
total magnetization: 7.311 μB/cell
raw formation energy: 0.793 eV per atom

Structure (CIF):
```
data_Mn2AlAsSe
_chemical_formula_sum 'Mn2 Al1 As1 Se1'
_cell_length_a 4.508
_cell_length_b 4.508
_cell_length_c 5.184
_cell_angle_alpha 90.00
_cell_angle_beta 90.00
_cell_angle_gamma 90.00
_symmetry_space_group_name_H-M 'P 4/m m m'
_symmetry_Int_Tables_number 123
_symmetry_space_group_name_Hall '-P 4 2'
loop_
_atom_site_label
_atom_site_fract_x
_atom_site_fract_y
_atom_site_fract_z
Mn1 0.000 0.500 0.000
Al1 0.000 0.000 0.500
As1 0.500 0.500 0.500
Se1 0.500 0.500 0.000
```

***

(2)
First-principles (GGA-PBEsol) data for a geometry-optimized Mn2AlTcAs structure, as listed in Alexandria.

Results
V: 89.5 Å³/cell
total magnetization: 9.257 μB/cell
ΔE_f: 1.574 eV per atom

Structure (CIF):
```
data_Mn2AlTcAs
_chemical_formula_sum 'Mn2 Al1 Tc1 As1'
_cell_length_a 4.414
_cell_length_b 4.414
_cell_length_c 4.592
_cell_angle_alpha 90.00
_cell_angle_beta 90.00
_cell_angle_gamma 90.00
_symmetry_space_group_name_H-M 'P 4/m m m'
_symmetry_Int_Tables_number 123
_symmetry_space_group_name_Hall '-P 4 2'
loop_
_atom_site_label
_atom_site_fract_x
_atom_site_fract_y
_atom_site_fract_z
Mn1 0.000 0.500 0.000
Al1 0.000 0.000 0.000
Tc1 0.500 0.500 0.500
As1 0.000 0.000 0.500
```

***

(3)
First-principles (GGA-PBEsol) data for a geometry-optimized Al2Mo2As structure, as listed in Alexandria.

Results
V: 159.3 Å³/cell
total magnetization: 0.000 μB/cell
ΔE_f: -0.062 eV per atom

Structure (CIF):
```
data_Al2Mo2As
_chemical_formula_sum 'Al4 Mo4 As2'
_cell_length_a 6.564
_cell_length_b 6.564
_cell_length_c 3.697
_cell_angle_alpha 90.00
_cell_angle_beta 90.00
_cell_angle_gamma 90.00
_symmetry_space_group_name_H-M 'P 4/m b m'
_symmetry_Int_Tables_number 127
_symmetry_space_group_name_Hall '-P 4 2ab'
loop_
_atom_site_label
_atom_site_fract_x
_atom_site_fract_y
_atom_site_fract_z
Al1 0.141 0.359 0.000
Mo1 0.161 0.661 0.500
As1 0.000 0.000 0.500
```

***

(4)
First-principles (GGA-PBEsol) data for a geometry-optimized AlMoAs structure, as listed in Alexandria.

Results
V: 88.5 Å³/cell
total magnetization: 0.000 μB/cell
ΔE_f: -0.370 eV per atom

Structure (CIF):
```
data_AlMoAs
_chemical_formula_sum 'Al2 Mo2 As2'
_cell_length_a 3.270
_cell_length_b 3.270
_cell_length_c 8.281
_cell_angle_alpha 90.00
_cell_angle_beta 90.00
_cell_angle_gamma 90.00
_symmetry_space_group_name_H-M 'I 4 m m'
_symmetry_Int_Tables_number 107
_symmetry_space_group_name_Hall 'I 4 -2'
loop_
_atom_site_label
_atom_site_fract_x
_atom_site_fract_y
_atom_site_fract_z
Al1 0.000 0.000 0.000
Mo1 0.000 0.000 0.326
As1 0.000 0.000 0.676
```

***

(5)
First-principles (GGA-PBEsol) data for a geometry-optimized Al2MoAsRh structure, as listed in Alexandria.

Results
V: 103.5 Å³/cell
total magnetization: 0.000 μB/cell
ΔE_f: 0.978 eV per atom

Structure (CIF):
```
data_Al2MoAsRh
_chemical_formula_sum 'Al2 Mo1 As1 Rh1'
_cell_length_a 4.745
_cell_length_b 4.745
_cell_length_c 4.597
_cell_angle_alpha 90.00
_cell_angle_beta 90.00
_cell_angle_gamma 90.00
_symmetry_space_group_name_H-M 'P 4/m m m'
_symmetry_Int_Tables_number 123
_symmetry_space_group_name_Hall '-P 4 2'
loop_
_atom_site_label
_atom_site_fract_x
_atom_site_fract_y
_atom_site_fract_z
Al1 0.000 0.500 0.000
Mo1 0.000 0.000 0.000
As1 0.500 0.500 0.500
Rh1 0.000 0.000 0.500
```

***

(6)
First-principles (GGA-PBEsol) data for a geometry-optimized AlAsNO2 structure, as listed in Alexandria.

Results
V: 50.2 Å³/cell
total magnetization: 0.585 μB/cell
raw formation energy: -0.632 eV per atom

Structure (CIF):
```
data_AlAsNO2
_chemical_formula_sum 'Al1 As1 N1 O2'
_cell_length_a 3.608
_cell_length_b 3.608
_cell_length_c 3.858
_cell_angle_alpha 90.00
_cell_angle_beta 90.00
_cell_angle_gamma 90.00
_symmetry_space_group_name_H-M 'P 4/m m m'
_symmetry_Int_Tables_number 123
_symmetry_space_group_name_Hall '-P 4 2'
loop_
_atom_site_label
_atom_site_fract_x
_atom_site_fract_y
_atom_site_fract_z
Al1 0.000 0.000 0.000
As1 0.500 0.500 0.500
N1 0.000 0.000 0.500
O1 0.000 0.500 0.000
```

***

(7)
First-principles (GGA-PBEsol) data for a geometry-optimized RbAl2AsN structure, as listed in Alexandria.

Results
V: 217.6 Å³/cell
total magnetization: 2.393 μB/cell
raw formation energy: 2.529 eV per atom

Structure (CIF):
```
data_RbAl2AsN
_chemical_formula_sum 'Rb1 Al2 As1 N1'
_cell_length_a 6.263
_cell_length_b 6.263
_cell_length_c 5.546
_cell_angle_alpha 90.00
_cell_angle_beta 90.00
_cell_angle_gamma 90.00
_symmetry_space_group_name_H-M 'P 4/m m m'
_symmetry_Int_Tables_number 123
_symmetry_space_group_name_Hall '-P 4 2'
loop_
_atom_site_label
_atom_site_fract_x
_atom_site_fract_y
_atom_site_fract_z
Rb1 0.000 0.000 0.000
Al1 0.000 0.500 0.000
As1 0.000 0.000 0.500
N1 0.500 0.500 0.500
```

***

(8)
First-principles (GGA-PBEsol) data for a geometry-optimized AlTe2AsN structure, as listed in Alexandria.

Results
V: 105.2 Å³/cell
total magnetization: 0.000 μB/cell
raw formation energy: 0.353 eV per atom

Structure (CIF):
```
data_AlTe2AsN
_chemical_formula_sum 'Al1 Te2 As1 N1'
_cell_length_a 5.532
_cell_length_b 5.532
_cell_length_c 3.436
_cell_angle_alpha 90.00
_cell_angle_beta 90.00
_cell_angle_gamma 90.00
_symmetry_space_group_name_H-M 'P 4/m m m'
_symmetry_Int_Tables_number 123
_symmetry_space_group_name_Hall '-P 4 2'
loop_
_atom_site_label
_atom_site_fract_x
_atom_site_fract_y
_atom_site_fract_z
Al1 0.000 0.000 0.000
Te1 0.000 0.500 0.000
As1 0.500 0.500 0.500
N1 0.000 0.000 0.500
```

***

(9)
First-principles (GGA-PBEsol) data for a geometry-optimized NaAl3As structure, as listed in Alexandria.

Results
V: 124.6 Å³/cell
total magnetization: 0.000 μB/cell
ΔE_f: 1.220 eV per atom

Structure (CIF):
```
data_NaAl3As
_chemical_formula_sum 'Na1 Al3 As1'
_cell_length_a 4.995
_cell_length_b 4.995
_cell_length_c 4.995
_cell_angle_alpha 90.00
_cell_angle_beta 90.00
_cell_angle_gamma 90.00
_symmetry_space_group_name_H-M 'P m -3 m'
_symmetry_Int_Tables_number 221
_symmetry_space_group_name_Hall '-P 4 2 3'
loop_
_atom_site_label
_atom_site_fract_x
_atom_site_fract_y
_atom_site_fract_z
Na1 0.000 0.000 0.000
Al1 0.000 0.000 0.500
As1 0.500 0.500 0.500
```

***

Number 1: E_tot -28.606 eV for the cell shown. Number 2: E_tot -32.118 eV for the cell shown. Number 3: E_tot -74.267 eV for the cell shown. Number 4: E_tot -44.150 eV for the cell shown. Number 5: E_tot -28.305 eV for the cell shown. Number 6: E_tot -31.381 eV for the cell shown. Number 7: E_tot -10.198 eV for the cell shown. Number 8: E_tot -23.013 eV for the cell shown. Number 9: E_tot -12.682 eV for the cell shown.